[1]
## Li2FeCo (SCAN)

Data for Li2FeCo at its PBEsol-relaxed geometry.

```
data_Li2FeCo
_cell_length_a 2.5037
_cell_length_b 2.5037
_cell_length_c 26.5674
_cell_angle_alpha 90.00
_cell_angle_beta 90.00
_cell_angle_gamma 120.00
_space_group_name_H-M_alt 'R 3 m'
_space_group_IT_number 160
_space_group_name_Hall 'R 3 -2"'
loop_
_atom_site_label
_atom_site_fract_x
_atom_site_fract_y
_atom_site_fract_z
Li1 0.0000 0.0000 0.0000
Li2 0.0000 0.0000 0.2346
Fe1 0.0000 0.0000 0.4857
Co1 0.0000 0.0000 0.7463
```

Values from the calculation:
Energy of formation (eV/atom): 0.190
M_tot (μB/f.u.): 4.134
Energy above the most stable polymorph in this dataset (eV/f.u.): 0.11
Calculated total energy (eV/cell): -118.4

***

[2]
## LiFeCo2 (SCAN)

Data for LiFeCo2 at its PBEsol-relaxed geometry.

```
data_LiFeCo2
_cell_length_a 3.954
_cell_length_b 3.954
_cell_length_c 2.686
_cell_angle_alpha 90.00
_cell_angle_beta 90.00
_cell_angle_gamma 90.00
_space_group_name_H-M_alt 'P 4/m m m'
_space_group_IT_number 123
_space_group_name_Hall '-P 4 2'
loop_
_atom_site_label
_atom_site_fract_x
_atom_site_fract_y
_atom_site_fract_z
Li1 0.000 0.000 0.000
Fe1 0.500 0.500 0.000
Co1 0.000 0.500 0.500
```

Values from the calculation:
Energy of formation (eV/atom): 0.144
M_tot (μB/f.u.): 5.966
Energy above the most stable polymorph in this dataset (eV/f.u.): 0.00
Calculated total energy (eV/cell): -54.6

***

[3]
## LiFeCo2 (SCAN)

Data for LiFeCo2 at its PBEsol-relaxed geometry.

```
data_LiFeCo2
_cell_length_a 5.510
_cell_length_b 5.510
_cell_length_c 5.510
_cell_angle_alpha 90.00
_cell_angle_beta 90.00
_cell_angle_gamma 90.00
_space_group_name_H-M_alt 'F m -3 m'
_space_group_IT_number 225
_space_group_name_Hall '-F 4 2 3'
loop_
_atom_site_label
_atom_site_fract_x
_atom_site_fract_y
_atom_site_fract_z
Li1 0.000 0.000 0.000
Fe1 0.000 0.000 0.500
Co1 0.250 0.250 0.250
```

Values from the calculation:
Energy of formation (eV/atom): 0.166
M_tot (μB/f.u.): 5.584
Energy above the most stable polymorph in this dataset (eV/f.u.): 0.09
Calculated total energy (eV/cell): -217.9

***

[4]
## Li2FeCo2O6 (SCAN)

Data for Li2FeCo2O6 at its PBEsol-relaxed geometry.

```
data_Li2FeCo2O6
_cell_length_a 4.835
_cell_length_b 8.369
_cell_length_c 9.543
_cell_angle_alpha 90.00
_cell_angle_beta 99.74
_cell_angle_gamma 90.00
_space_group_name_H-M_alt 'C 1 2 1'
_space_group_IT_number 5
loop_
_space_group_symop_operation_xyz
'x,y,z'
'-x,y,-z'
'x+1/2,y+1/2,z'
'-x+1/2,y+1/2,-z'
loop_
_atom_site_label
_atom_site_fract_x
_atom_site_fract_y
_atom_site_fract_z
Li1 0.243 0.000 0.250
Li2 0.247 0.665 0.250
Fe1 0.000 0.332 0.500
Fe2 0.000 0.492 0.000
Co1 0.000 0.166 0.000
Co2 0.000 0.668 0.500
Co3 0.000 0.830 0.000
Co4 0.000 0.996 0.500
O1 0.128 0.162 0.396
O2 0.128 0.502 0.396
O3 0.129 0.000 0.896
O4 0.129 0.659 0.897
O5 0.138 0.330 0.892
O6 0.139 0.832 0.393
```

Values from the calculation:
M_tot (μB/f.u.): 2.018
Calculated total energy (eV/cell): -457.1

***

[5]
## Li2FeCo3O8 (SCAN)

Data for Li2FeCo3O8 at its PBEsol-relaxed geometry.

```
data_Li2FeCo3O8
_cell_length_a 7.941
_cell_length_b 7.941
_cell_length_c 7.941
_cell_angle_alpha 90.00
_cell_angle_beta 90.00
_cell_angle_gamma 90.00
_space_group_name_H-M_alt 'P 43 3 2'
_space_group_IT_number 212
_space_group_name_Hall 'P 4acd 2ab 3'
loop_
_atom_site_label
_atom_site_fract_x
_atom_site_fract_y
_atom_site_fract_z
Li1 0.003 0.497 0.503
Fe1 0.125 0.875 0.375
Co1 0.123 0.625 0.127
O1 0.109 0.609 0.891
O2 0.110 0.388 0.114
```

Values from the calculation:
M_tot (μB/f.u.): 3.095
Energy above the most stable polymorph in this dataset (eV/f.u.): 0.00
Calculated total energy (eV/cell): -593.9

***

[6]
## Li10FeCo9O20 (SCAN)

Data for Li10FeCo9O20 at its PBEsol-relaxed geometry.

```
data_Li10FeCo9O20
_cell_length_a 4.878
_cell_length_b 7.451
_cell_length_c 9.329
_cell_angle_alpha 96.55
_cell_angle_beta 95.00
_cell_angle_gamma 109.11
_space_group_name_H-M_alt 'P -1'
_space_group_IT_number 2
loop_
_space_group_symop_operation_xyz
'x,y,z'
'-x,-y,-z'
loop_
_atom_site_label
_atom_site_fract_x
_atom_site_fract_y
_atom_site_fract_z
Li1 0.000 0.249 0.249
Li2 0.200 0.150 0.750
Li3 0.201 0.651 0.249
Li4 0.400 0.050 0.250
Li5 0.402 0.550 0.751
Fe1 0.000 0.500 0.500
Co1 0.000 0.000 0.000
Co2 0.200 0.400 0.000
Co3 0.200 0.900 0.500
Co4 0.400 0.300 0.500
Co5 0.400 0.800 0.000
O1 0.096 0.321 0.609
O2 0.096 0.822 0.108
O3 0.104 0.078 0.391
O4 0.104 0.578 0.891
O5 0.295 0.222 0.109
O6 0.296 0.722 0.609
O7 0.304 0.978 0.891
O8 0.305 0.478 0.390
O9 0.496 0.122 0.609
O10 0.496 0.622 0.109
```

Values from the calculation:
M_tot (μB/f.u.): 1.000
Calculated total energy (eV/cell): -397.5